First-principles (GGA-PBE) data for a geometry-optimized Ba3TiBr structure, as listed in Alexandria.

It has space group Pm-3m (No. 221), with a = 6.241 Å, b = 6.241 Å, c = 6.241 Å, α = 90.00°, β = 90.00° and γ = 90.00°. The inequivalent atoms are Ba at (0.000, 0.000, 0.500), Ti at (0.500, 0.500, 0.500) and Br at (0.000, 0.000, 0.000).

The value obtained for the density is 3.687 g/cm3. The offset from the most stable computed form is 0 meV per atom.